Here is a PBEsol-optimized structure of TiTePdN2 from Alexandria. Energies are from SCAN.

Cell lengths 3.9581, 3.9581, 5.2956 Å; angles 90.00, 90.00, 90.00 degrees
Last column: magnetic moment on the atom in μB.
Fractional positions:
Pd: 0.0000 0.0000 0.0000  -0.28
Ti: 0.5000 0.5000 0.5000  1.60
Te: 0.0000 0.0000 0.5000  -0.15
N: 0.0000 0.5000 0.0000  -0.94
N: 0.5000 0.0000 0.0000  -0.94

Summary:
The calculation puts the density of states at the Fermi level at 2.865 states/eV per cell. The magnetic moment comes out at 1.1 μB per formula unit. The calculated density comes out at 6.20 g cm⁻³. The calculation puts the energy relative to the elements, uncorrected at 1.071 eV per atom.